# Cs8H3Br4Cl

An optimized crystal structure of Cs8H3Br4Cl (GGA-PBE, Alexandria).

Unit cell a=9.9347 b=9.9347 c=24.5207 alpha=90.00 beta=90.00 gamma=120.00
Space group R-3m (No. 166, hexagonal axes)
One atom of each set of equivalent atoms:
Cs  0.0000  0.0000  0.2414
Cs  0.0083  0.5042  0.7579
H  0.0000  0.5000  0.5000
Br  0.0000  0.0000  0.0000
Br  0.0000  0.5000  0.0000
Cl  0.0000  0.0000  0.5000

Total magnetization in μB per cell: 0.48
E in eV per atom: -2.776
DOS(E_F) in states/eV/cell: 0.0

***

# Cs4HBrCl2

An optimized crystal structure of Cs4HBrCl2 (GGA-PBE, Alexandria).

Unit cell a=8.6389 b=4.9942 c=8.6558 alpha=90.00 beta=109.40 gamma=90.00
Space group P2/m (No. 10)
One atom of each set of equivalent atoms:
Cs  0.2449  0.0000  0.2377
Cs  0.2511  0.5000  0.7637
H  0.0000  0.5000  0.0000
Br  0.0000  0.0000  0.5000
Cl  0.5000  0.0000  0.0000
Cl  0.5000  0.5000  0.5000

Total magnetization in μB per cell: 0.05
E in eV per atom: -2.974
DOS(E_F) in states/eV/cell: 0.0

***

# Cs2HfBrCl6

An optimized crystal structure of Cs2HfBrCl6 (GGA-PBE, Alexandria).

Unit cell a=7.3649 b=7.3812 c=8.5542 alpha=69.00 beta=69.12 gamma=61.23
Space group P1 (No. 1)
One atom of each set of equivalent atoms:
Cs  0.0000  0.0000  0.0000
Cs  0.4330  0.4331  0.4742
Hf  0.7066  0.7265  0.7372
Br  0.9580  0.4762  0.2374
Cl  0.0294  0.5596  0.8595
Cl  0.4085  0.8796  0.6021
Cl  0.5349  0.5296  0.9946
Cl  0.5528  0.0241  0.8719
Cl  0.8743  0.4044  0.6154
Cl  0.9031  0.8988  0.4800

Total magnetization in μB per cell: 1.00
E in eV per atom: -4.169
E_form (uncorrected) in eV per atom: -1.73

***

# Cs2HfBrCl6

An optimized crystal structure of Cs2HfBrCl6 (GGA-PBE, Alexandria).

Unit cell a=8.0104 b=8.0104 c=11.9775 alpha=90.00 beta=90.00 gamma=90.00
Space group I4/mmm (No. 139)
One atom of each set of equivalent atoms:
Cs  0.0000  0.5000  0.2500
Hf  0.0000  0.0000  0.0000
Br  0.0000  0.0000  0.5000
Cl  0.0000  0.0000  0.2052
Cl  0.2171  0.2171  0.0000

Total magnetization in μB per cell: 2.00
E in eV per atom: -4.098
DOS(E_F) in states/eV/cell: 13.1
E_form (uncorrected) in eV per atom: -1.66

***

# CsHfBrCl2

An optimized crystal structure of CsHfBrCl2 (GGA-PBE, Alexandria).

Unit cell a=4.9606 b=4.9606 c=9.5928 alpha=90.00 beta=90.00 gamma=90.00
Space group P4/mmm (No. 123)
One atom of each set of equivalent atoms:
Cs  0.0000  0.0000  0.0000
Hf  0.0000  0.0000  0.5000
Br  0.5000  0.5000  0.0000
Cl  0.0000  0.5000  0.5000

Total magnetization in μB per cell: 1.95
E in eV per atom: -4.323
DOS(E_F) in states/eV/cell: 1.3
E_form (uncorrected) in eV per atom: -1.09

***

# Cs2HfBr4Cl2

An optimized crystal structure of Cs2HfBr4Cl2 (GGA-PBE, Alexandria).

Unit cell a=13.3954 b=7.6784 c=6.6411 alpha=90.00 beta=95.26 gamma=90.00
Space group C2/m (No. 12)
One atom of each set of equivalent atoms:
Cs  0.1613  0.0000  0.2646
Hf  0.0000  0.5000  0.5000
Br  0.0868  0.2565  0.7356
Cl  0.1460  0.5000  0.3035

Total magnetization in μB per cell: 0.00
E in eV per atom: -4.228
DOS(E_F) in states/eV/cell: 0.0
E_form (uncorrected) in eV per atom: -1.78

***

# Cs2HfBr2Cl4

An optimized crystal structure of Cs2HfBr2Cl4 (GGA-PBE, Alexandria).

Unit cell a=13.1198 b=7.5896 c=6.4953 alpha=90.00 beta=91.73 gamma=90.00
Space group C2/m (No. 12)
One atom of each set of equivalent atoms:
Cs  0.1663  0.0000  0.2444
Hf  0.0000  0.5000  0.0000
Br  0.1673  0.5000  0.2379
Cl  0.0752  0.2690  0.7869

Total magnetization in μB per cell: 0.00
E in eV per atom: -4.385
DOS(E_F) in states/eV/cell: 0.0
E_form (uncorrected) in eV per atom: -1.90

***

# Cs2HfBrCl5

An optimized crystal structure of Cs2HfBrCl5 (GGA-PBE, Alexandria).

Unit cell a=7.6818 b=7.6818 c=10.7546 alpha=90.00 beta=90.00 gamma=90.00
Space group I4mm (No. 107)
One atom of each set of equivalent atoms:
Cs  0.0000  0.5000  0.0000
Hf  0.0000  0.0000  0.2485
Br  0.0000  0.0000  0.4951
Cl  0.0000  0.0000  0.0202
Cl  0.2267  0.2267  0.2504

Total magnetization in μB per cell: 0.00
E in eV per atom: -4.482
DOS(E_F) in states/eV/cell: 0.0
E_form (uncorrected) in eV per atom: -1.97